No. 1
The following is a DFT calculation (PBE-GGA) of an optimized crystal structure of Ca5TcN4F2.

Calculated values
- Formation energy from raw total energies: -1.394 eV per atom

a = 6.909 Å, b = 5.641 Å, c = 5.641 Å
α = 117.42°, β = 90.00°, γ = 90.00°
Fractional coordinates of all 12 atoms:
Ca 0.000 0.000 0.000
Ca 0.271 0.314 0.666
Ca 0.271 0.666 0.314
Ca 0.729 0.314 0.666
Ca 0.729 0.666 0.314
Tc 0.500 0.990 0.990
N 0.287 0.208 0.208
N 0.500 0.642 0.971
N 0.500 0.971 0.642
N 0.713 0.208 0.208
F 0.000 0.027 0.585
F 0.000 0.585 0.027


No. 2
The following is a DFT calculation (PBE-GGA) of an optimized crystal structure of BeTl2AgGe.

Calculated values
- ΔH_f (0 K): 522 meV/atom

a = 4.957 Å, b = 4.957 Å, c = 4.682 Å
α = 90.00°, β = 90.00°, γ = 90.00°
Fractional coordinates of all 5 atoms:
Be 0.000 0.000 0.000
Tl 0.000 0.500 0.000
Tl 0.500 0.000 0.000
Ag 0.000 0.000 0.500
Ge 0.500 0.500 0.500


no.,total DFT energy (no corrections) (eV per atom)
1,-6.179
2,-2.664